1.
Computed, not measured: a geometry-optimized TbHoPb structure at the PBE level of DFT.

Summary:
The energy above the most stable polymorph in this dataset is 0 meV/atom. For the formation enthalpy at 0 K, the calculation gives -245 meV/atom.

Lattice parameters (Å, degrees): 16.3267 3.5694 6.4244 90.00 90.00 90.00
Space group Pnma (No. 62)
Inequivalent atoms, fractional coordinates:
Tb 0.1859 0.2500 0.0120 x4
Ho 0.0146 0.7500 0.7678 x4
Pb 0.1484 0.2500 0.5131 x4



2.
Computed, not measured: a geometry-optimized CrCu2W structure at the PBE level of DFT.

Summary:
The energy above the most stable polymorph in this dataset is 637 meV/atom. For the formation enthalpy at 0 K, the calculation gives 883 meV/atom.

Lattice parameters (Å, degrees): 6.7759 6.7759 4.8425 90.00 90.00 90.00
Space group I-42d (No. 122)
Inequivalent atoms, fractional coordinates:
Cr 0.0000 0.0000 0.0000 x4
Cu 0.2352 0.7500 0.1250 x8
W 0.0000 0.0000 0.5000 x4



3.
Computed, not measured: a geometry-optimized Zr2CuW structure at the PBE level of DFT.

Summary:
The energy above the most stable polymorph in this dataset is 0 meV/atom. For the formation enthalpy at 0 K, the calculation gives -11 meV/atom.

Lattice parameters (Å, degrees): 3.3778 3.3901 6.4472 90.00 90.00 90.00
Space group Pmmm (No. 47)
Inequivalent atoms, fractional coordinates:
Zr 0.0000 0.0000 0.2456 x2
Cu 0.5000 0.5000 0.5000 x1
W 0.5000 0.5000 0.0000 x1



4.
Computed, not measured: a geometry-optimized CsAlBr2 structure at the PBE level of DFT.

Summary:
The energy above the most stable polymorph in this dataset is 242 meV/atom. The value obtained for the uncorrected formation energy is -0.63 eV/atom.

Lattice parameters (Å, degrees): 4.9538 4.9538 28.9999 90.00 90.00 120.00
Space group R-3m (No. 166, hexagonal axes)
Inequivalent atoms, fractional coordinates:
Cs 0.0000 0.0000 0.0000 x3
Al 0.0000 0.0000 0.5000 x3
Br 0.0000 0.0000 0.1129 x6



5.
Computed, not measured: a geometry-optimized NdDyCdCu structure at the PBE level of DFT.

Summary:
For the formation enthalpy at 0 K, the calculation gives -201 meV/atom.

Lattice parameters (Å, degrees): 7.3622 7.3622 7.3622 90.00 90.00 90.00
Space group F-43m (No. 216)
Inequivalent atoms, fractional coordinates:
Nd 0.0000 0.0000 0.0000 x4
Dy 0.0000 0.0000 0.5000 x4
Cd 0.2500 0.2500 0.2500 x4
Cu 0.2500 0.2500 0.7500 x4



6.
Computed, not measured: a geometry-optimized CaZnW2 structure at the PBE level of DFT.

Summary:
For the formation enthalpy at 0 K, the calculation gives 750 meV/atom.

Lattice parameters (Å, degrees): 3.9022 3.9022 9.6459 90.00 90.00 90.00
Space group I4/mmm (No. 139)
Inequivalent atoms, fractional coordinates:
Ca 0.0000 0.0000 0.0000 x2
Zn 0.0000 0.0000 0.5000 x2
W 0.0000 0.5000 0.2500 x4



7.
Computed, not measured: a geometry-optimized PaPtI2 structure at the PBE level of DFT.

Summary:
The value obtained for the uncorrected formation energy is 0.02 eV/atom.

Lattice parameters (Å, degrees): 3.6973 3.6973 28.9217 90.00 90.00 120.00
Space group R-3m (No. 166, hexagonal axes)
Inequivalent atoms, fractional coordinates:
Pa 0.0000 0.0000 0.0000 x3
Pt 0.0000 0.0000 0.5000 x3
I 0.0000 0.0000 0.4113 x6



8.
Computed, not measured: a geometry-optimized ReSb2WI structure at the PBE level of DFT.

Summary:
The energy above the most stable polymorph in this dataset is 0 meV/atom. The value obtained for the uncorrected formation energy is 1.73 eV/atom.

Lattice parameters (Å, degrees): 5.0666 5.0666 5.6965 90.00 90.00 90.00
Space group P4/mmm (No. 123)
Inequivalent atoms, fractional coordinates:
Re 0.0000 0.0000 0.0000 x1
Sb 0.0000 0.5000 0.0000 x2
W 0.5000 0.5000 0.5000 x1
I 0.0000 0.0000 0.5000 x1



9.
Computed, not measured: a geometry-optimized LiAg3 structure at the PBE level of DFT.

Summary:
For the formation enthalpy at 0 K, the calculation gives -111 meV/atom.

Lattice parameters (Å, degrees): 5.8675 8.0705 2.9161 90.00 90.00 90.00
Space group Cmmm (No. 65)
Inequivalent atoms, fractional coordinates:
Li 0.0000 0.0000 0.0000 x2
Ag 0.0000 0.5000 0.0000 x2
Ag 0.2500 0.2500 0.5000 x4



10.
Computed, not measured: a geometry-optimized YCdAs2O8 structure at the PBE level of DFT.

Summary:
The value obtained for the uncorrected formation energy is -1.61 eV/atom.

Lattice parameters (Å, degrees): 7.2152 7.2152 6.4071 90.00 90.00 90.00
Space group I-4m2 (No. 119)
Inequivalent atoms, fractional coordinates:
Y 0.0000 0.0000 0.0000 x2
Cd 0.0000 0.5000 0.7500 x2
As 0.0000 0.0000 0.5000 x2
As 0.0000 0.5000 0.2500 x2
O 0.0000 0.1791 0.6782 x8
O 0.0000 0.3153 0.0808 x8



11.
Computed, not measured: a geometry-optimized Ag3IrPd3O8 structure at the PBE level of DFT.

Summary:
The value obtained for the uncorrected formation energy is -0.34 eV/atom.

Lattice parameters (Å, degrees): 12.6245 6.1585 6.3140 90.00 118.22 90.00
Space group C2/m (No. 12)
Inequivalent atoms, fractional coordinates:
Ag 0.0000 0.0000 0.0000 x2
Ag 0.2500 0.2500 0.5000 x4
Ir 0.0000 0.0000 0.5000 x2
Pd 0.0000 0.5000 0.5000 x2
Pd 0.2500 0.2500 0.0000 x4
O 0.0567 0.2441 0.3662 x8
O 0.1466 0.0000 0.8061 x4
O 0.1765 0.5000 0.7643 x4